Entry 1:
# La3Pr2Dy3 | Alexandria | GGA-PBE | relaxed
data_La3Pr2Dy3
_cell_length_a 5.125
_cell_length_b 5.199
_cell_length_c 20.843
_cell_angle_alpha 90.00
_cell_angle_beta 90.00
_cell_angle_gamma 90.00
_space_group_name_H-M_alt 'I m m m'
_space_group_IT_number 71
_space_group_name_Hall '-I 2 2'
loop_
_atom_site_label
_atom_site_fract_x
_atom_site_fract_y
_atom_site_fract_z
La1 0.000 0.000 0.000
La2 0.000 0.500 0.122
Pr1 0.000 0.000 0.249
Dy1 0.000 0.000 0.500
Dy2 0.000 0.500 0.375
# **Total magnetic moment**: 0.0 μB/f.u.
# **Calculated formation energy**: 0.02 eV/atom
# **E**: -4.74 eV per atom

Entry 2:
# La4Pr4Dy | Alexandria | GGA-PBE | relaxed
data_La4Pr4Dy
_cell_length_a 11.728
_cell_length_b 5.254
_cell_length_c 11.114
_cell_angle_alpha 90.00
_cell_angle_beta 108.81
_cell_angle_gamma 90.00
_space_group_name_H-M_alt 'C 1 2/m 1'
_space_group_IT_number 12
loop_
_space_group_symop_operation_xyz
'x,y,z'
'-x,-y,-z'
'-x,y,-z'
'x,-y,z'
'x+1/2,y+1/2,z'
'-x+1/2,-y+1/2,-z'
'-x+1/2,y+1/2,-z'
'x+1/2,-y+1/2,z'
loop_
_atom_site_label
_atom_site_fract_x
_atom_site_fract_y
_atom_site_fract_z
La1 0.163 0.000 0.219
La2 0.169 0.000 0.557
Pr1 0.002 0.500 0.669
Pr2 0.169 0.000 0.891
Dy1 0.000 0.500 0.000
# **Total magnetic moment**: 0.0 μB/f.u.
# **Calculated formation energy**: 0.02 eV/atom
# **E**: -4.81 eV per atom

Entry 3:
# La2Pr5Dy2 | Alexandria | GGA-PBE | relaxed
data_La2Pr5Dy2
_cell_length_a 15.618
_cell_length_b 5.225
_cell_length_c 8.227
_cell_angle_alpha 90.00
_cell_angle_beta 108.40
_cell_angle_gamma 90.00
_space_group_name_H-M_alt 'C 1 2/m 1'
_space_group_IT_number 12
loop_
_space_group_symop_operation_xyz
'x,y,z'
'-x,-y,-z'
'-x,y,-z'
'x,-y,z'
'x+1/2,y+1/2,z'
'-x+1/2,-y+1/2,-z'
'-x+1/2,y+1/2,-z'
'x+1/2,-y+1/2,z'
loop_
_atom_site_label
_atom_site_fract_x
_atom_site_fract_y
_atom_site_fract_z
La1 0.167 0.000 0.499
Pr1 0.000 0.500 0.500
Pr2 0.058 0.000 0.835
Pr3 0.113 0.500 0.165
Dy1 0.223 0.500 0.837
# **Total magnetic moment**: 0.0 μB/f.u.
# **Calculated formation energy**: 0.02 eV/atom
# **E**: -4.75 eV per atom

Entry 4:
# La3Pr3Dy5 | Alexandria | GGA-PBE | relaxed
data_La3Pr3Dy5
_cell_length_a 9.6618
_cell_length_b 9.6618
_cell_length_c 5.5668
_cell_angle_alpha 90.00
_cell_angle_beta 90.00
_cell_angle_gamma 120.00
_space_group_name_H-M_alt 'P -6 2 m'
_space_group_IT_number 189
_space_group_name_Hall 'P -6 -2'
loop_
_atom_site_label
_atom_site_fract_x
_atom_site_fract_y
_atom_site_fract_z
La1 0.0000 0.6363 0.0000
Pr1 0.0000 0.4956 0.5000
Dy1 0.0000 0.2771 0.0000
Dy2 0.3333 0.6667 0.0000
# **Total magnetic moment**: 0.0 μB/f.u.
# **Calculated formation energy**: 0.71 eV/atom
# **E**: -4.03 eV per atom

Entry 5:
# LaPr5Dy4 | Alexandria | GGA-PBE | relaxed
data_LaPr5Dy4
_cell_length_a 3.668
_cell_length_b 3.668
_cell_length_c 25.589
_cell_angle_alpha 90.00
_cell_angle_beta 90.00
_cell_angle_gamma 90.00
_space_group_name_H-M_alt 'P 4/m m m'
_space_group_IT_number 123
_space_group_name_Hall '-P 4 2'
loop_
_atom_site_label
_atom_site_fract_x
_atom_site_fract_y
_atom_site_fract_z
La1 0.000 0.000 0.000
Pr1 0.500 0.500 0.105
Pr2 0.500 0.500 0.303
Pr3 0.500 0.500 0.500
Dy1 0.000 0.000 0.204
Dy2 0.000 0.000 0.401
# **Total magnetic moment**: 0.0 μB/f.u.
# **Calculated formation energy**: 0.02 eV/atom
# **E**: -4.71 eV per atom

Entry 6:
# La2Pr5Dy4 | Alexandria | GGA-PBE | relaxed
data_La2Pr5Dy4
_cell_length_a 18.393
_cell_length_b 3.629
_cell_length_c 12.337
_cell_angle_alpha 90.00
_cell_angle_beta 107.42
_cell_angle_gamma 90.00
_space_group_name_H-M_alt 'C 1 2/m 1'
_space_group_IT_number 12
loop_
_space_group_symop_operation_xyz
'x,y,z'
'-x,-y,-z'
'-x,y,-z'
'x,-y,z'
'x+1/2,y+1/2,z'
'-x+1/2,-y+1/2,-z'
'-x+1/2,y+1/2,-z'
'x+1/2,-y+1/2,z'
loop_
_atom_site_label
_atom_site_fract_x
_atom_site_fract_y
_atom_site_fract_z
La1 0.179 0.000 0.298
Pr1 0.000 0.000 0.000
Pr2 0.109 0.500 0.518
Pr3 0.166 0.500 0.013
Dy1 0.005 0.500 0.752
Dy2 0.169 0.000 0.769
# **Total magnetic moment**: 0.0 μB/f.u.
# **Calculated formation energy**: 0.13 eV/atom
# **E**: -4.61 eV per atom